Entry 1:
This record from Alexandria describes a geometry-optimized BaSrAg structure. The functional is GGA-PBEsol.

Cell: 5.4318 5.4318 5.4318 Å, 60.00 60.00 60.00°
Closest atoms and distances in Å follow each position.
Positions (direct):
Ba1 0.2500 0.2500 0.2500  4 Sr 3.33, 4 Ag 3.33
Sr1 0.0000 0.0000 0.0000  4 Ba 3.33
Ag1 0.5000 0.5000 0.5000  4 Ba 3.33

Formation enthalpy at 0 K: 445 meV/atom
N(E_F): 4.4 states/eV/f.u.
Distance to the lowest polymorph of the same formula: 56.6 kJ per mole of atoms
Symmetry: F-43m

=====

Entry 2:
This record from Alexandria describes a geometry-optimized BaSrAg structure. The functional is GGA-PBEsol.

Cell: 3.9875 3.9875 7.7096 Å, 104.99 104.99 90.00°
Closest atoms and distances in Å follow each position.
Positions (direct):
Ag1 0.9941 0.9941 0.9882  4 Sr 3.32, 4 Ba 3.46
Ba1 0.6339 0.6339 0.2678  4 Ag 3.46, 1 Sr 3.76
Sr1 0.3720 0.3720 0.7440  4 Ag 3.32

Formation enthalpy at 0 K: -142 meV/atom
N(E_F): 3.4 states/eV/f.u.
Distance to the lowest polymorph of the same formula: 0.0 kJ per mole of atoms
Symmetry: I4mm

=====

Entry 3:
This record from Alexandria describes a geometry-optimized BaSrAg structure. The functional is GGA-PBEsol.

Cell: 4.5968 4.5968 7.3785 Å, 90.00 90.00 120.00°
Closest atoms and distances in Å follow each position.
Positions (direct):
Ba1 0.6667 0.3333 0.7508  3 Ag 3.27
Ag1 0.0000 0.0000 0.0092  3 Sr 3.15, 3 Ba 3.27
Sr1 0.3333 0.6667 0.2400  3 Ag 3.15

Formation enthalpy at 0 K: -67 meV/atom
N(E_F): 3.3 states/eV/f.u.
Distance to the lowest polymorph of the same formula: 7.2 kJ per mole of atoms
Symmetry: P3m1

=====

Entry 4:
This record from Alexandria describes a geometry-optimized Ba3SrAg4 structure. The functional is GGA-PBEsol.

Cell: 4.8260 6.4702 8.5074 Å, 90.72 90.00 90.00°
Closest atoms and distances in Å follow each position.
Positions (direct):
Ba1 0.0000 0.3698 0.8191  7 Ag 3.37-3.51
Ba2 0.0000 0.1286 0.3230  7 Ag 3.43-3.53
Ba3 0.5000 0.6283 0.1807  7 Ag 3.38-3.60
Ag1 0.5000 0.1071 0.0267  2 Ag 2.87
Ag2 0.5000 0.3905 0.5378  2 Ag 2.90
Ag3 0.0000 0.6228 0.4743  2 Ag 2.90
Ag4 0.0000 0.8836 0.9578  2 Ag 2.87
Sr1 0.5000 0.8693 0.6805  7 Ag 3.31-3.60

Formation enthalpy at 0 K: -233 meV/atom
N(E_F): 5.2 states/eV/f.u.
Symmetry: Pm

=====

Copy entry 4 word for word.
This record from Alexandria describes a geometry-optimized Ba3SrAg4 structure. The functional is GGA-PBEsol.

Cell: 4.8260 6.4702 8.5074 Å, 90.72 90.00 90.00°
Closest atoms and distances in Å follow each position.
Positions (direct):
Ba1 0.0000 0.3698 0.8191  7 Ag 3.37-3.51
Ba2 0.0000 0.1286 0.3230  7 Ag 3.43-3.53
Ba3 0.5000 0.6283 0.1807  7 Ag 3.38-3.60
Ag1 0.5000 0.1071 0.0267  2 Ag 2.87
Ag2 0.5000 0.3905 0.5378  2 Ag 2.90
Ag3 0.0000 0.6228 0.4743  2 Ag 2.90
Ag4 0.0000 0.8836 0.9578  2 Ag 2.87
Sr1 0.5000 0.8693 0.6805  7 Ag 3.31-3.60

Formation enthalpy at 0 K: -233 meV/atom
N(E_F): 5.2 states/eV/f.u.
Symmetry: Pm

=====

Which of these has the highest formation enthalpy at 0 K? number 1

=====

Look up the N(E_F) of the third one. 3.3 states/eV/f.u.

=====

Among the records above, which one has the highest formation enthalpy at 0 K? number 1